No. 1
A plane-wave DFT calculation with PBE was carried out for NaSb2Pt3 after structural relaxation.

abc: 8.361 8.361 8.734
angles: 110.53 110.53 28.25
Element x y z (fractional)
Na 0.141 0.141 0.007
Na 0.859 0.859 0.993
Sb 0.197 0.197 0.697
Sb 0.460 0.460 0.801
Sb 0.540 0.540 0.199
Sb 0.803 0.803 0.303
Pt 0.054 0.054 0.401
Pt 0.312 0.312 0.535
Pt 0.416 0.416 0.328
Pt 0.584 0.584 0.672
Pt 0.688 0.688 0.465
Pt 0.946 0.946 0.599

Results
**Total magnetization**: 0.00 μB per cell
**Space-group type**: C2/m
**E above lowest polymorph**: 65.8 meV/atom
**Raw formation energy**: -2.04 eV/f.u.

No. 2
A plane-wave DFT calculation with PBE was carried out for Na2Sb2Pt3 after structural relaxation.

abc: 6.090 6.090 7.359
angles: 118.46 118.46 40.06
Element x y z (fractional)
Na 0.139 0.139 0.277
Na 0.861 0.861 0.723
Sb 0.151 0.151 0.758
Sb 0.849 0.849 0.242
Pt 0.408 0.408 0.067
Pt 0.500 0.500 0.500
Pt 0.592 0.592 0.933

Results
**Total magnetization**: 0.00 μB per cell
**Space-group type**: C2/m
**E above lowest polymorph**: 6.0 meV/atom
**Raw formation energy**: -2.81 eV/f.u.

No. 3
A plane-wave DFT calculation with PBE was carried out for Na3Sb5Pt6 after structural relaxation.

abc: 4.221 12.856 11.325
angles: 90.00 90.00 90.00
Element x y z (fractional)
Na 0.250 0.083 0.242
Na 0.250 0.417 0.242
Na 0.250 0.750 0.230
Na 0.750 0.250 0.770
Na 0.750 0.583 0.758
Na 0.750 0.917 0.758
Sb 0.250 0.082 0.641
Sb 0.250 0.418 0.641
Sb 0.250 0.616 0.981
Sb 0.250 0.750 0.656
Sb 0.250 0.884 0.981
Sb 0.750 0.116 0.019
Sb 0.750 0.250 0.344
Sb 0.750 0.384 0.019
Sb 0.750 0.582 0.359
Sb 0.750 0.918 0.359
Pt 0.250 0.068 0.869
Pt 0.250 0.250 0.010
Pt 0.250 0.250 0.493
Pt 0.250 0.432 0.869
Pt 0.250 0.588 0.503
Pt 0.250 0.912 0.503
Pt 0.750 0.088 0.497
Pt 0.750 0.412 0.497
Pt 0.750 0.568 0.131
Pt 0.750 0.750 0.507
Pt 0.750 0.750 0.990
Pt 0.750 0.932 0.131

Results
**Total magnetization**: 0.00 μB per cell
**Space-group type**: Pmmn
**Raw formation energy**: -5.81 eV/f.u.

No. 4
A plane-wave DFT calculation with PBE was carried out for NaSb2Pt2 after structural relaxation.

abc: 8.170 8.170 3.192
angles: 90.00 90.00 90.00
Element x y z (fractional)
Na 0.000 0.000 0.000
Na 0.500 0.500 0.000
Sb 0.147 0.353 0.000
Sb 0.353 0.853 0.000
Sb 0.647 0.147 0.000
Sb 0.853 0.647 0.000
Pt 0.148 0.648 0.500
Pt 0.352 0.148 0.500
Pt 0.648 0.852 0.500
Pt 0.852 0.352 0.500

Results
**Total magnetization**: 0.00 μB per cell
**Space-group type**: P4/mbm
**E above lowest polymorph**: 207.7 meV/atom
**Raw formation energy**: -1.22 eV/f.u.

No. 5
A plane-wave DFT calculation with PBE was carried out for Na2Sb2Pt after structural relaxation.

abc: 6.032 6.032 11.033
angles: 115.54 115.54 45.50
Element x y z (fractional)
Na 0.008 0.008 0.178
Na 0.185 0.185 0.608
Na 0.815 0.815 0.392
Na 0.992 0.992 0.822
Sb 0.345 0.345 0.943
Sb 0.481 0.481 0.620
Sb 0.519 0.519 0.380
Sb 0.655 0.655 0.057
Pt 0.281 0.281 0.153
Pt 0.719 0.719 0.847

Results
**Total magnetization**: 0.00 μB per cell
**Space-group type**: C2/m
**E above lowest polymorph**: 0.0 meV/atom
**Raw formation energy**: -2.16 eV/f.u.

No. 6
A plane-wave DFT calculation with PBE was carried out for NaSb4Pt6 after structural relaxation.

abc: 6.961 6.961 6.961
angles: 120.93 120.93 88.39
Element x y z (fractional)
Na 0.000 0.000 0.000
Sb 0.125 0.565 0.000
Sb 0.435 0.435 0.561
Sb 0.565 0.125 0.000
Sb 0.875 0.875 0.439
Pt 0.000 0.500 0.500
Pt 0.226 0.226 0.679
Pt 0.454 0.774 0.000
Pt 0.500 0.000 0.500
Pt 0.546 0.546 0.321
Pt 0.774 0.454 0.000

Results
**Total magnetization**: 0.00 μB per cell
**Space-group type**: I-42m
**Raw formation energy**: -3.77 eV/f.u.

No. 7
A plane-wave DFT calculation with PBE was carried out for NaSb2Pt after structural relaxation.

abc: 7.323 7.323 7.323
angles: 33.50 33.50 33.50
Element x y z (fractional)
Na 0.000 0.000 0.000
Sb 0.557 0.557 0.557
Sb 0.773 0.773 0.773
Pt 0.164 0.164 0.164

Results
**Total magnetization**: 0.00 μB per cell
**Space-group type**: R3m
**E above lowest polymorph**: 0.0 meV/atom
**Raw formation energy**: -1.75 eV/f.u.

No. 8
A plane-wave DFT calculation with PBE was carried out for Na2Sb3Pt2 after structural relaxation.

abc: 5.963 5.963 7.955
angles: 113.86 113.86 41.77
Element x y z (fractional)
Na 0.165 0.165 0.317
Na 0.835 0.835 0.683
Sb 0.376 0.376 0.040
Sb 0.500 0.500 0.500
Sb 0.624 0.624 0.960
Pt 0.131 0.131 0.754
Pt 0.869 0.869 0.246

Results
**Total magnetization**: 0.00 μB per cell
**Space-group type**: C2/m
**Raw formation energy**: -2.53 eV/f.u.